1.
Material: Zr2InCl
Method: DFT, PBE
State: relaxed

Unit cell a=3.2074 b=3.2074 c=7.8302 alpha=90.00 beta=90.00 gamma=90.00
Last column: nearest neighbours and their distance in Å.
Space group P4/mmm (No. 123)
Inequivalent atoms, fractional coordinates:
Zr  0.0000  0.0000  0.2309 [2 per cell]  4 Cl 2.90, 4 In 3.10, 4 Zr 3.21
In  0.5000  0.5000  0.5000 [1 per cell]  8 Zr 3.10, 4 In 3.21
Cl  0.5000  0.5000  0.0000 [1 per cell]  8 Zr 2.90, 4 Cl 3.21

Summary:
distance to the lowest polymorph of the same formula = 74.0 kJ/mol of formula units



2.
Material: KZr2Tl
Method: DFT, PBE
State: relaxed

Unit cell a=4.7300 b=4.7300 c=9.1326 alpha=90.00 beta=90.00 gamma=90.00
Last column: nearest neighbours and their distance in Å.
Space group I4/mmm (No. 139)
Inequivalent atoms, fractional coordinates:
K  0.0000  0.0000  0.0000 [2 per cell]  8 Zr 3.29, 4 Tl 3.34
Zr  0.0000  0.5000  0.2500 [4 per cell]  4 Tl 3.29, 4 K 3.29, 4 Zr 3.34
Tl  0.0000  0.0000  0.5000 [2 per cell]  8 Zr 3.29, 4 K 3.34

Summary:
ΔH_f (0 K) = 0.713 eV/atom
distance to the lowest polymorph of the same formula = 213.0 kJ/mol of formula units



Number 1: magnetization 0.00 μB/atom, V 81 Å³/cell. Number 2: magnetization 0.00 μB/atom, V 204 Å³/cell.